Record 1
Material: Ce7TcCl12
Method: DFT, PBE-GGA
State: relaxed

Summary:
**N(E_F)**: 2.2221 states/eV/atom
**Raw formation energy**: -1.79 eV per atom
**Space-group type**: R-3 (148)
**Density**: 3.9 Mg/m³

```
Ce7TcCl12
1.0
8.800 -0.192 -2.681
-3.567 8.047 -2.681
-0.128 -0.192 9.199
Ce Tc Cl
7 1 12
direct
0.969 0.673 0.877
0.327 0.123 0.031
0.123 0.031 0.327
0.500 0.500 0.500
0.877 0.969 0.673
0.673 0.877 0.969
0.031 0.327 0.123
0.000 0.000 0.000
0.919 0.313 0.788
0.687 0.212 0.081
0.471 0.164 0.379
0.836 0.621 0.529
0.212 0.081 0.687
0.621 0.529 0.836
0.379 0.471 0.164
0.788 0.919 0.313
0.164 0.379 0.471
0.529 0.836 0.621
0.313 0.788 0.919
0.081 0.687 0.212
```

***

Record 2
Material: Ce2TcCl
Method: DFT, PBE-GGA
State: relaxed

Summary:
**N(E_F)**: 2.0952 states/eV/atom
**Raw formation energy**: -0.73 eV per atom
**Space-group type**: P1 (1)
**Energy relative to the lowest polymorph listed for this composition**: 0 meV/atom
**Density**: 6.5 Mg/m³

```
Ce2TcCl
1.0
3.809 0.685 -0.022
1.180 7.143 1.438
0.091 0.494 8.060
Ce Tc Cl
4 2 2
direct
0.174 0.788 0.907
0.275 0.619 0.518
0.370 0.256 0.949
0.452 0.109 0.542
0.966 0.247 0.709
0.684 0.649 0.737
0.055 0.000 0.237
0.281 0.462 0.225
```

***

Record 3
Material: Ce2TeCl
Method: DFT, PBE-GGA
State: relaxed

Summary:
**N(E_F)**: 3.9089 states/eV/atom
**Raw formation energy**: -1.18 eV per atom
**Space-group type**: Fm-3m (225)
**Energy relative to the lowest polymorph listed for this composition**: 185 meV/atom
**Density**: 6.9 Mg/m³

```
Ce2TeCl
1.0
-3.641 3.742 0.984
-4.855 -1.387 1.654
-1.492 1.006 5.000
Te Ce Cl
1 2 1
direct
0.500 0.500 0.500
0.250 0.250 0.250
0.750 0.750 0.750
0.000 0.000 0.000
```

***

Record 4
Material: Ce2TeCl
Method: DFT, PBE-GGA
State: relaxed

Summary:
**N(E_F)**: 3.0886 states/eV/atom
**Raw formation energy**: -1.36 eV per atom
**Space-group type**: R-3m (166)
**Energy relative to the lowest polymorph listed for this composition**: 0 meV/atom
**Density**: 6.8 Mg/m³

```
Ce2TeCl
1.0
-0.162 -3.877 1.772
3.486 -1.666 1.807
-0.666 0.985 7.227
Te Ce Cl
1 2 1
direct
0.500 0.500 0.500
0.262 0.262 0.215
0.738 0.738 0.785
0.000 0.000 0.000
```

***

Record 5
Material: Ce2TeCl3
Method: DFT, PBE-GGA
State: relaxed

Summary:
**N(E_F)**: 2.0765 states/eV/atom
**Raw formation energy**: -1.85 eV per atom
**Space-group type**: C2/m (12)
**Density**: 4.5 Mg/m³

```
Ce2TeCl3
1.0
4.335 0.000 0.000
-2.168 8.357 -0.162
0.000 -3.789 10.461
Ce Te Cl
4 2 6
direct
0.477 0.955 0.811
0.523 0.045 0.189
0.768 0.535 0.159
0.232 0.465 0.841
0.885 0.769 0.976
0.115 0.231 0.024
0.301 0.603 0.658
0.959 0.918 0.649
0.627 0.254 0.718
0.373 0.746 0.282
0.041 0.082 0.351
0.699 0.397 0.342
```

***

Record 6
Material: Ce2Te2Cl
Method: DFT, PBE-GGA
State: relaxed

Summary:
**N(E_F)**: 2.8249 states/eV/atom
**Raw formation energy**: -1.54 eV per atom
**Space-group type**: Ibam (72)
**Density**: 5.9 Mg/m³

```
Ce2Te2Cl
1.0
5.838 0.000 2.492
1.902 6.932 3.628
0.015 0.197 8.050
Ce Te Cl
4 4 2
direct
0.106 0.658 0.130
0.894 0.342 0.870
0.394 0.870 0.342
0.606 0.130 0.658
0.353 0.295 0.999
0.647 0.705 0.001
0.147 0.001 0.705
0.853 0.999 0.295
0.250 0.500 0.500
0.750 0.500 0.500
```

***

Record 7
Material: CeTe2Cl5
Method: DFT, PBE-GGA
State: relaxed

Summary:
**N(E_F)**: 0.4464 states/eV/atom
**Raw formation energy**: -1.21 eV per atom
**Space-group type**: P1 (1)
**Density**: 3.0 Mg/m³

```
CeTe2Cl5
1.0
4.719 0.042 2.468
1.649 7.957 2.589
-1.233 1.569 8.200
Ce Te Cl
1 2 5
direct
0.048 0.973 0.972
0.514 0.489 0.490
0.997 0.600 0.604
0.893 0.922 0.331
0.176 0.637 0.052
0.893 0.327 0.927
0.175 0.060 0.631
0.527 0.993 0.993
```

***

Record 8
Material: CeTeCl2
Method: DFT, PBE-GGA
State: relaxed

Summary:
**N(E_F)**: 0.3246 states/eV/atom
**Raw formation energy**: -1.59 eV per atom
**Space-group type**: Cmcm (63)
**Density**: 4.8 Mg/m³

```
CeTeCl2
1.0
-1.526 3.694 -0.662
-3.783 -4.422 -3.554
-5.407 -0.983 6.978
Ce Te Cl
2 2 4
direct
0.259 0.519 0.250
0.741 0.481 0.750
0.932 0.864 0.250
0.068 0.136 0.750
0.338 0.676 0.571
0.662 0.324 0.429
0.662 0.324 0.071
0.338 0.676 0.929
```

***

Record 9
Material: Ce4Te3Cl2
Method: DFT, PBE-GGA
State: relaxed

Summary:
**N(E_F)**: 2.8627 states/eV/atom
**Raw formation energy**: -1.50 eV per atom
**Space-group type**: C2/m (12)
**Density**: 5.9 Mg/m³

```
Ce4Te3Cl2
1.0
-1.867 -3.927 -0.280
5.544 -4.934 -1.654
2.005 -3.960 8.260
Ce Te Cl
4 3 2
direct
0.796 0.088 0.320
0.204 0.912 0.680
0.393 0.308 0.906
0.607 0.692 0.094
0.000 0.000 0.000
0.180 0.401 0.238
0.820 0.599 0.762
0.601 0.186 0.612
0.399 0.814 0.388
```

***

Record 10
Material: Ce2TeCl
Method: DFT, PBE-GGA
State: relaxed

Summary:
**N(E_F)**: 3.4451 states/eV/atom
**Raw formation energy**: -1.15 eV per atom
**Space-group type**: P4/mmm (123)
**Energy relative to the lowest polymorph listed for this composition**: 212 meV/atom
**Density**: 7.0 Mg/m³

```
Ce2TeCl
1.0
3.770 0.000 0.000
0.000 3.770 0.000
0.000 0.000 7.373
Te Ce Cl
1 2 1
direct
0.500 0.500 0.500
0.000 0.000 0.751
0.000 0.000 0.249
0.500 0.500 0.000
```

***

Record 11
Material: Ce2TeCl
Method: DFT, PBE-GGA
State: relaxed

Summary:
**N(E_F)**: 3.1845 states/eV/atom
**Raw formation energy**: -1.24 eV per atom
**Space-group type**: R3m (160)
**Energy relative to the lowest polymorph listed for this composition**: 118 meV/atom
**Density**: 6.5 Mg/m³

```
Ce2TeCl
1.0
4.038 0.000 0.000
2.019 3.497 0.000
2.019 1.166 8.033
Ce Te Cl
2 1 1
direct
0.086 0.086 0.743
0.248 0.248 0.257
0.667 0.667 0.999
0.500 0.500 0.501
```

***

Record 12
Material: Ce5Te4Cl
Method: DFT, PBE-GGA
State: relaxed

Summary:
**N(E_F)**: 3.5613 states/eV/atom
**Raw formation energy**: -1.32 eV per atom
**Space-group type**: I4/mmm (139)
**Density**: 6.8 Mg/m³

```
Ce5Te4Cl
1.0
4.384 0.000 -0.618
-0.087 4.383 -0.618
-0.001 -0.001 15.855
Ce Te Cl
5 4 1
direct
0.093 0.093 0.185
0.500 0.500 0.000
0.907 0.907 0.815
0.298 0.298 0.595
0.702 0.702 0.405
0.399 0.399 0.799
0.804 0.804 0.609
0.196 0.196 0.391
0.601 0.601 0.201
0.000 0.000 0.000
```

***

Record 13
Material: Ce3TeCl7
Method: DFT, PBE-GGA
State: relaxed

Summary:
**N(E_F)**: 1.4950 states/eV/atom
**Raw formation energy**: -2.03 eV per atom
**Space-group type**: P3m1 (156)
**Density**: 2.9 Mg/m³

```
Ce3TeCl7
1.0
6.857 0.000 0.000
0.000 7.526 -4.345
0.000 0.000 8.690
Ce Te Cl
3 1 7
direct
0.786 0.502 0.004
0.786 0.996 0.498
0.786 0.502 0.498
0.512 0.667 0.333
0.992 0.818 0.637
0.992 0.363 0.182
0.006 0.333 0.667
0.587 0.183 0.365
0.587 0.183 0.817
0.587 0.635 0.817
0.992 0.818 0.182
```

***

Record 14
Material: Ce6Te5Cl
Method: DFT, PBE-GGA
State: relaxed

Summary:
**N(E_F)**: 3.5589 states/eV/atom
**Raw formation energy**: -1.34 eV per atom
**Space-group type**: C2/m (12)
**Density**: 6.9 Mg/m³

```
Ce6Te5Cl
1.0
-2.910 1.067 -6.993
2.107 -5.695 -4.597
-4.395 -6.272 -0.553
Ce Te Cl
6 5 1
direct
0.765 0.076 0.317
0.235 0.607 0.317
0.251 0.233 0.000
0.749 0.767 0.000
0.765 0.393 0.683
0.235 0.924 0.683
0.500 0.177 0.646
0.000 0.337 0.327
0.500 0.500 0.000
0.000 0.663 0.673
0.500 0.823 0.354
0.000 0.000 0.000
```

***

Record 15
Material: CeThCl4
Method: DFT, PBE-GGA
State: relaxed

Summary:
**N(E_F)**: 0.9104 states/eV/atom
**Raw formation energy**: -1.82 eV per atom
**Space-group type**: C2/m (12)
**Density**: 4.8 Mg/m³

```
CeThCl4
1.0
3.669 0.000 0.000
-1.835 7.653 -2.845
0.000 -0.324 6.412
Ce Th Cl
1 1 4
direct
0.000 0.000 0.000
0.500 0.000 0.500
0.870 0.741 0.204
0.130 0.259 0.796
0.373 0.747 0.703
0.627 0.253 0.297
```

***

Record 16
Material: CeThCl
Method: DFT, PBE-GGA
State: relaxed

Summary:
**N(E_F)**: 1.9103 states/eV/atom
**Raw formation energy**: -0.47 eV per atom
**Space-group type**: Fdd2 (43)
**Density**: 8.2 Mg/m³

```
CeThCl
1.0
-4.675 6.240 1.641
-4.658 -5.678 0.440
-3.803 1.374 6.866
Cl Th Ce
4 4 4
direct
0.997 0.264 0.481
0.983 0.236 0.995
0.769 0.764 0.253
0.255 0.736 0.267
0.876 0.842 0.528
0.722 0.342 0.374
0.630 0.158 0.966
0.284 0.658 0.620
0.202 0.105 0.633
0.617 0.605 0.048
0.347 0.395 0.989
0.261 0.895 0.903
```

***

Record 17
Material: CeTiCl
Method: DFT, PBE-GGA
State: relaxed

Summary:
**N(E_F)**: 1.8455 states/eV/atom
**Raw formation energy**: -0.64 eV per atom
**Space-group type**: C2/m (12)
**Density**: 4.6 Mg/m³

```
CeTiCl
1.0
3.364 0.000 0.000
1.682 4.144 -0.668
1.682 0.591 11.402
Ce Cl Ti
2 2 2
direct
0.242 0.738 0.778
0.758 0.262 0.222
0.955 0.732 0.359
0.045 0.268 0.641
0.384 0.257 0.975
0.616 0.743 0.025
```

***

Record 18
Material: CeTiCl6
Method: DFT, PBE-GGA
State: relaxed

Summary:
**N(E_F)**: 1.2307 states/eV/atom
**Raw formation energy**: -1.85 eV per atom
**Space-group type**: C2/m (12)
**Density**: 2.7 Mg/m³

```
CeTiCl6
1.0
-3.106 1.859 -5.305
6.541 1.480 -2.175
-2.801 -6.449 0.516
Ce Ti Cl
1 1 6
direct
0.500 0.500 0.500
0.000 0.000 0.000
0.774 0.638 0.917
0.774 0.917 0.638
0.226 0.083 0.362
0.226 0.362 0.083
0.768 0.236 0.236
0.232 0.764 0.764
```

***

Record 19
Material: Ce2TlCl
Method: DFT, PBE-GGA
State: relaxed

Summary:
**N(E_F)**: 3.0403 states/eV/atom
**Raw formation energy**: -0.74 eV per atom
**Space-group type**: R-3m (166)
**Energy relative to the lowest polymorph listed for this composition**: 0 meV/atom
**Density**: 7.7 Mg/m³

```
Ce2TlCl
1.0
-1.461 1.436 -3.539
-2.810 -2.132 -2.067
-7.014 3.450 1.933
Tl Ce Cl
1 2 1
direct
0.500 0.500 0.500
0.266 0.266 0.203
0.734 0.734 0.797
0.000 0.000 0.000
```

***

Record 20
Material: Ce4TlCl12
Method: DFT, PBE-GGA
State: relaxed

Summary:
**N(E_F)**: 2.2428 states/eV/atom
**Raw formation energy**: -2.03 eV per atom
**Space-group type**: Immm (71)
**Density**: 3.1 Mg/m³

```
Ce4TlCl12
1.0
-5.865 -6.596 -3.214
2.932 -2.474 8.574
-4.308 8.328 0.578
Ce Tl Cl
4 1 12
direct
0.500 0.000 0.000
0.000 0.500 0.000
0.000 0.000 0.500
0.500 0.500 0.500
0.000 0.500 0.500
0.184 0.750 0.934
0.064 0.749 0.315
0.434 0.749 0.685
0.306 0.110 0.804
0.694 0.498 0.804
0.184 0.250 0.434
0.816 0.750 0.566
0.694 0.890 0.196
0.306 0.502 0.196
0.566 0.251 0.315
0.936 0.251 0.685
0.816 0.250 0.066
```

***

Record 21
Material: CeTl2Cl8
Method: DFT, PBE-GGA
State: relaxed

Summary:
**N(E_F)**: 0.2266 states/eV/atom
**Raw formation energy**: -1.20 eV per atom
**Space-group type**: C2/m (12)
**Energy relative to the lowest polymorph listed for this composition**: 0 meV/atom
**Density**: 3.1 Mg/m³

```
CeTl2Cl8
1.0
-4.267 5.329 -0.082
-4.740 -1.011 6.812
4.327 6.199 3.570
Ce Tl Cl
1 2 8
direct
0.000 0.000 0.000
0.178 0.303 0.303
0.822 0.697 0.697
0.864 0.029 0.728
0.136 0.272 0.971
0.637 0.183 0.183
0.363 0.817 0.817
0.864 0.728 0.029
0.136 0.971 0.272
0.219 0.527 0.527
0.781 0.473 0.473
```

***

Record 22
Material: CeTlCl4
Method: DFT, PBE-GGA
State: relaxed

Summary:
**N(E_F)**: 0.9146 states/eV/atom
**Raw formation energy**: -1.77 eV per atom
**Space-group type**: C2/c (15)
**Energy relative to the lowest polymorph listed for this composition**: 55 meV/atom
**Density**: 4.2 Mg/m³

```
CeTlCl4
1.0
7.094 -0.014 0.000
-1.829 8.043 0.000
-2.633 -4.014 6.776
Ce Tl Cl
2 2 8
direct
0.243 0.993 0.986
0.757 0.007 0.014
0.388 0.638 0.277
0.612 0.362 0.723
0.004 0.209 0.883
0.805 0.742 0.684
0.379 0.674 0.883
0.379 0.942 0.684
0.621 0.058 0.316
0.621 0.326 0.117
0.195 0.258 0.316
0.996 0.791 0.117
```

***

Record 23
Material: CeTl2Cl8
Method: DFT, PBE-GGA
State: relaxed

Summary:
**N(E_F)**: 0.6257 states/eV/atom
**Raw formation energy**: -1.18 eV per atom
**Space-group type**: C2/m (12)
**Energy relative to the lowest polymorph listed for this composition**: 19 meV/atom
**Density**: 3.2 Mg/m³

```
CeTl2Cl8
1.0
-6.081 -2.603 -2.783
-4.921 0.014 8.061
-5.823 5.894 4.534
Ce Tl Cl
1 2 8
direct
0.000 0.000 0.000
0.515 0.157 0.157
0.485 0.843 0.843
0.256 0.196 0.691
0.256 0.691 0.196
0.744 0.804 0.309
0.402 0.705 0.705
0.744 0.309 0.804
0.136 0.135 0.135
0.864 0.865 0.865
0.598 0.295 0.295
```